This record from Alexandria via LeMat-Bulk describes a relaxed structure of Tm3PbSe2. The functional is GGA-PBE.

Results
ΔE to the lowest computed polymorph = 36.7 meV per atom
DOS at the Fermi energy = 4.9 states/eV/cell
Calculated density = 9.43 g cm⁻³
Spin magnetization = 0.00 μB per cell
Formation energy from raw total energies = -1.23 eV/atom
Crystal system = tetragonal

```
data_Tm3PbSe2
_space_group_name_H-M_alt 'I 4/m m m'
_space_group_IT_number 139
_space_group_name_Hall '-I 4 2'
_cell_length_a 4.1788
_cell_length_b 4.1788
_cell_length_c 17.5930
_cell_angle_alpha 90.00
_cell_angle_beta 90.00
_cell_angle_gamma 90.00
loop_
_atom_site_label
_atom_site_type_symbol
_atom_site_fract_x
_atom_site_fract_y
_atom_site_fract_z
_atom_site_occupancy
Tm1 Tm 0.0000 0.0000 0.0000 1
Tm2 Tm 0.0000 0.0000 0.3298 1
Pb1 Pb 0.0000 0.0000 0.5000 1
Se1 Se 0.0000 0.0000 0.1692 1
```